Entry 1:
Compound: TbPrMgCu
Source: the Alexandria database
Functional: GGA-PBE
Structure: relaxed

a b c (Å): 7.418 7.418 7.418
angles (deg): 90.00 90.00 90.00
Space group F-43m (No. 216)
One atom of each set of equivalent atoms:
Tb (0.000, 0.000, 0.000)
Pr (0.000, 0.000, 0.500)
Mg (0.250, 0.250, 0.250)
Cu (0.250, 0.250, 0.750)

For the total DFT energy (no corrections), the calculation gives -61.06 eV for the cell shown. Its formation enthalpy at 0 K is -0.04 eV/atom.


Entry 2:
Compound: PrMgCuTe3
Source: the Alexandria database
Functional: GGA-PBE
Structure: relaxed

a b c (Å): 8.668 4.243 9.397
angles (deg): 90.00 101.50 90.00
Space group P2_1/m (No. 11)
One atom of each set of equivalent atoms:
Pr (0.173, 0.250, 0.251)
Mg (0.345, 0.750, 0.845)
Cu (0.065, 0.250, 0.570)
Te (0.102, 0.250, 0.863)
Te (0.244, 0.750, 0.523)
Te (0.417, 0.750, 0.157)

For the total DFT energy (no corrections), the calculation gives -50.71 eV for the cell shown. The uncorrected formation energy is -910.2 meV per atom.